# 1
Below is HfTe2PI after structural relaxation, with properties calculated at the GGA-PBE level.

The structure in POSCAR format:
```
HfTe2PI
1.0
-0.537 5.159 0.891
-4.526 -0.008 -2.686
-2.552 -1.009 4.304
I Hf Te P
1 1 2 1
direct
0.000 0.000 0.500
0.500 0.500 0.500
0.000 0.500 0.000
0.500 0.000 0.000
0.000 0.000 0.000
```

Computed properties:
Formation energy from raw total energies, eV/atom: 0.6116
Magnetization, μB/f.u.: 0.74
VASP energy, eV per atom: -4.028
Distance to the lowest polymorph of the same formula, eV/atom: 0.2629


# 2
Below is Ta2Co3Ru3 after structural relaxation, with properties calculated at the GGA-PBE level.

The structure in POSCAR format:
```
Ta2Co3Ru3
1.0
3.762 0.000 0.000
0.000 3.803 0.000
0.000 0.000 7.560
Co Ru Ta
3 3 2
direct
0.500 0.500 0.243
0.500 0.000 0.000
0.500 0.500 0.757
0.000 0.500 0.500
0.000 0.500 0.000
0.500 0.000 0.500
0.000 0.000 0.244
0.000 0.000 0.756
```

Computed properties:
Magnetization, μB/f.u.: 0.00
VASP energy, eV per atom: -9.312


# 3
Below is RbTc2Sb after structural relaxation, with properties calculated at the GGA-PBE level.

The structure in POSCAR format:
```
RbTc2Sb
1.0
4.927 0.000 0.000
0.000 4.927 0.000
2.464 2.464 9.571
Tc Rb Sb
4 2 2
direct
0.875 0.125 0.750
0.375 0.125 0.750
0.875 0.625 0.250
0.875 0.125 0.250
0.500 0.500 0.000
0.250 0.750 0.500
0.000 0.000 0.000
0.750 0.250 0.500
```

Computed properties:
Formation energy from raw total energies, eV/atom: 0.9960
Magnetization, μB/f.u.: 0.97
VASP energy, eV per atom: -5.459


# 4
Below is TbYAgIr after structural relaxation, with properties calculated at the GGA-PBE level.

The structure in POSCAR format:
```
TbYAgIr
1.0
-3.053 3.909 0.541
-4.920 -0.575 -0.601
-3.043 0.262 3.946
Tb Ir Y Ag
1 1 1 1
direct
0.250 0.250 0.250
0.500 0.500 0.500
0.750 0.750 0.750
0.000 0.000 0.000
```

Computed properties:
Magnetization, μB/f.u.: 0.00
VASP energy, eV per atom: -6.285